## Pr2Y12Ho5 (GGA-PBE)

Data for a relaxed Pr2Y12Ho5 crystal.

a = 6.5418 Å, b = 8.6960 Å, c = 11.8097 Å
α = 89.02°, β = 87.35°, γ = 67.98°
Last column: nearest neighbours and their distance in Å.
Space group P1 (No. 1)
Inequivalent atoms, fractional coordinates:
Pr  0.0000  0.0000  0.0000  2 Pr 3.40-3.41, 2 Ho 3.46-3.71, 7 Y 3.49-3.79
Pr  0.4398  0.1183  0.0002  2 Pr 3.40-3.41, 4 Y 3.41-3.58, 2 Ho 3.43-3.61
Y  0.0062  0.6307  0.8805  2 Ho 3.38-3.52, 6 Y 3.40-3.73, 1 Pr 3.52
Y  0.0813  0.8214  0.4994  3 Y 3.19-3.52, 4 Ho 3.34-3.51
Y  0.1455  0.4439  0.3755  5 Y 3.33-3.65, 4 Ho 3.46-3.49
Y  0.3577  0.6317  0.1204  2 Ho 3.38-3.60, 6 Y 3.42-3.74, 1 Pr 3.51
Y  0.3635  0.8220  0.7670  3 Ho 3.33-3.61, 1 Pr 3.52, 4 Y 3.55-3.70
Y  0.4822  0.0212  0.4997  1 Ho 3.41, 8 Y 3.44-3.82
Y  0.6188  0.4161  0.8823  2 Ho 3.38-3.40, 6 Y 3.42-3.73, 1 Pr 3.47
Y  0.6223  0.2348  0.2376  5 Y 3.33-3.59, 1 Pr 3.41, 2 Ho 3.46-3.57
Y  0.7603  0.0253  0.7386  7 Y 3.44-3.70, 2 Pr 3.49-3.58, 3 Ho 3.59-3.81
Y  0.8029  0.8199  0.2299  3 Ho 3.34-3.72, 4 Y 3.35-3.65, 1 Pr 3.54
Y  0.8835  0.2173  0.5011  3 Y 3.19-3.46, 4 Ho 3.36-3.49
Y  0.9628  0.4133  0.1166  7 Y 3.38-3.74, 1 Pr 3.45, 1 Ho 3.59
Ho  0.1366  0.2347  0.7627  2 Ho 3.30-3.45, 5 Y 3.33-3.60, 1 Pr 3.43
Ho  0.2037  0.0248  0.2618  10 Y 3.41-3.82, 2 Pr 3.46-3.61
Ho  0.3956  0.4477  0.6263  4 Ho 3.30-3.48, 5 Y 3.36-3.61
Ho  0.5719  0.5933  0.3794  7 Y 3.34-3.49, 2 Ho 3.38-3.48
Ho  0.8238  0.5911  0.6234  5 Y 3.33-3.49, 4 Ho 3.38-3.47

Properties
ΔE to the lowest computed polymorph in eV/atom: 0.000
Calculated formation energy in eV per atom: 0.0899
VASP energy in eV per atom: -5.700

## UOF3 (GGA-PBE)

Data for a relaxed UOF3 crystal.

a = 3.7963 Å, b = 3.7963 Å, c = 5.6756 Å
α = 90.00°, β = 90.00°, γ = 120.00°
Last column: nearest neighbours and their distance in Å.
Space group P3m1 (No. 156)
Inequivalent atoms, fractional coordinates:
U  0.0000  0.0000  0.0000  1 F 2.01
O  0.6667  0.3333  0.1166  3 U 2.29, 4 F 2.35-2.54
F  0.0000  0.0000  0.3547  1 U 2.01
F  0.3333  0.6667  0.8895  3 U 2.28, 3 F 2.44, 3 O 2.54
F  0.6667  0.3333  0.7025  1 O 2.35, 3 F 2.44

Properties
ΔE_f (raw) in eV per atom: -2.959
ΔE to the lowest computed polymorph in eV/atom: 0.325
VASP energy in eV per atom: -7.331

What is the formula in the second record?
UOF3